Here is CaEr2Pt after structural relaxation from the Alexandria database. Energies are from PBE-GGA.

Structure (POSCAR):
```
CaEr2Pt
1.0
4.0900 0.0000 0.0000
2.0450 3.5420 0.0000
2.0450 1.1807 9.0729
Pt Ca Er
1 1 2
Cartesian
4.0900 2.3614 0.0127
4.0900 2.3614 4.5068
2.0450 1.1807 1.4592
2.0450 1.1807 7.6307
```

Calculated values
Formation energy from the elements (meV per atom): -590
Symmetry: R3m (160)